# 1
A plane-wave DFT calculation with PBE-GGA was carried out for a geometry-optimized Y2GaAu5 structure.

* D(E_F): 0.516 states/eV per atom
* ΔE_f: -4.5 eV/f.u.

a = 8.4758 Å, b = 8.9689 Å, c = 6.0800 Å
α = 90.00°, β = 133.43°, γ = 90.00°
Last column: nearest neighbours and their distance in Å.
Space group Cm (No. 8)
Unique sites:
Y: 0.0000 0.2475 0.0000  10 Au 2.97-3.23, 2 Ga 3.15
Ga: 0.2524 0.5000 0.4945  4 Au 2.69-2.71
Au: 0.2249 0.5000 0.9130  1 Ga 2.71, 1 Au 2.93, 2 Y 2.99
Au: 0.2510 0.0000 0.5051  8 Au 2.93-3.28, 4 Y 3.15
Au: 0.3118 0.0000 0.0823  1 Ga 2.71, 1 Au 2.95, 2 Y 3.00
Au: 0.4803 0.2899 0.4968  1 Ga 2.69, 1 Au 2.94, 2 Y 2.97-2.99

***

# 2
A plane-wave DFT calculation with PBE-GGA was carried out for a geometry-optimized Y2Ga3Au4 structure.

* D(E_F): 0.572 states/eV per atom
* ΔE_f: -5.5 eV/f.u.

a = 5.8469 Å, b = 15.6790 Å, c = 7.8155 Å
α = 90.00°, β = 90.00°, γ = 90.00°
Last column: nearest neighbours and their distance in Å.
Space group Cmce (No. 64)
Unique sites:
Y: 0.0000 0.1076 0.0961  8 Au 3.14-3.51, 4 Ga 3.17-3.46
Ga: 0.0000 0.0000 0.5000  6 Au 2.60-2.79
Ga: 0.2500 0.2303 0.7500  5 Au 2.70-2.74, 2 Ga 2.92
Au: 0.0000 0.1773 0.4728  5 Ga 2.70-2.79
Au: 0.2500 0.0578 0.7500  3 Ga 2.60-2.71

***

# 3
A plane-wave DFT calculation with PBE-GGA was carried out for a geometry-optimized YGa3Au3 structure.

* D(E_F): 0.615 states/eV per atom
* ΔE_f: -0.4 eV/f.u.

a = 7.0062 Å, b = 7.0062 Å, c = 7.0062 Å
α = 90.00°, β = 90.00°, γ = 90.00°
Last column: nearest neighbours and their distance in Å.
Space group Pm-3n (No. 223)
Unique sites:
Y: 0.0000 0.0000 0.0000  12 Ga 3.92, 12 Au 3.92
Ga: 0.0000 0.2500 0.5000  4 Au 2.48
Au: 0.0000 0.5000 0.2500  4 Ga 2.48

***

# 4
A plane-wave DFT calculation with PBE-GGA was carried out for a geometry-optimized YGaAu structure.

* D(E_F): 0.765 states/eV per atom
* ΔE_f: -1.7 eV/f.u.

a = 3.4491 Å, b = 3.4491 Å, c = 10.6556 Å
α = 90.00°, β = 90.00°, γ = 90.00°
Last column: nearest neighbours and their distance in Å.
Space group I4mm (No. 107)
Unique sites:
Y: 0.0000 0.0000 0.0000  5 Au 3.09-3.43, 5 Ga 3.14-3.35, 4 Y 3.45
Ga: 0.0000 0.0000 0.6855  4 Au 2.84, 4 Y 3.14
Au: 0.0000 0.0000 0.3215  4 Ga 2.84, 4 Y 3.09

***

# 5
A plane-wave DFT calculation with PBE-GGA was carried out for a geometry-optimized YGaAu structure.

* D(E_F): 0.526 states/eV per atom
* ΔE_f: -2.4 eV/f.u.

a = 10.5444 Å, b = 4.4927 Å, c = 7.1731 Å
α = 90.00°, β = 131.85°, γ = 90.00°
Last column: nearest neighbours and their distance in Å.
Space group C2/m (No. 12)
Unique sites:
Y: 0.0394 0.0000 0.2987  6 Au 3.07-3.28, 6 Ga 3.11-3.30
Ga: 0.1577 0.5000 0.1029  1 Ga 2.59, 2 Au 2.60
Au: 0.1764 0.5000 0.7161  3 Ga 2.60-2.91, 1 Au 2.84

***

# 6
A plane-wave DFT calculation with PBE-GGA was carried out for a geometry-optimized YGaAu6 structure.

* D(E_F): 0.459 states/eV per atom
* ΔE_f: -1.9 eV/f.u.

a = 8.0297 Å, b = 8.0297 Å, c = 9.4923 Å
α = 90.00°, β = 90.00°, γ = 120.00°
Last column: nearest neighbours and their distance in Å.
Space group R-3m (No. 166, hexagonal axes)
Unique sites:
Y: 0.0000 0.0000 0.0000  12 Au 2.98-3.26
Ga: 0.0000 0.0000 0.5000  6 Au 2.58
Au: 0.0912 0.5456 0.3728  1 Ga 2.58, 1 Au 2.73

***

# 7
A plane-wave DFT calculation with PBE-GGA was carried out for a geometry-optimized YGa3Au structure.

* D(E_F): 0.332 states/eV per atom
* ΔE_f: -2.4 eV/f.u.

a = 8.2305 Å, b = 4.3970 Å, c = 10.9596 Å
α = 90.00°, β = 90.00°, γ = 90.00°
Last column: nearest neighbours and their distance in Å.
Space group Pnma (No. 62)
Unique sites:
Y: 0.2066 0.2500 0.0047  8 Ga 3.02-3.29, 2 Au 3.18
Ga: 0.0869 0.2500 0.6121  3 Au 2.65-2.75, 2 Ga 2.69-2.70
Ga: 0.0982 0.7500 0.8309  2 Au 2.59-2.62, 2 Ga 2.75
Ga: 0.1018 0.7500 0.1865  4 Ga 2.69-2.75, 2 Au 2.92
Au: 0.0902 0.2500 0.3613  5 Ga 2.59-2.75

***

# 8
A plane-wave DFT calculation with PBE-GGA was carried out for a geometry-optimized Y2Ga2Au structure.

* D(E_F): 0.409 states/eV per atom
* ΔE_f: -3.8 eV/f.u.

a = 10.7126 Å, b = 4.4312 Å, c = 10.5804 Å
α = 90.00°, β = 117.51°, γ = 90.00°
Last column: nearest neighbours and their distance in Å.
Space group C2/m (No. 12)
Unique sites:
Y: 0.0125 0.0000 0.3281  7 Ga 3.09-3.38, 4 Au 3.12-3.34
Y: 0.1851 0.0000 0.1078  6 Ga 3.06-3.19, 2 Au 3.17
Ga: 0.0292 0.5000 0.8917  1 Ga 2.64, 1 Au 2.69
Ga: 0.1367 0.5000 0.5578  1 Ga 2.60, 3 Au 2.61-2.89
Au: 0.2256 0.5000 0.3383  4 Ga 2.61-2.89

***

> D(E_F) of number 5 (YGaAu)?

0.526 states/eV per atom